[1]
Density functional theory data (PBE) for a geometry-optimized Sm5Tl4Ir structure.

Values from the calculation:
Magnetization (μB per cell): 0.1
Density (g/cm3): 10.70
ΔH_f (0 K) (eV/atom): -0.44
SG: P4/mmm, No. 123

abc: 3.596 3.596 21.150
angles: 90.00 90.00 90.00
Atoms (fractional coordinates):
Sm (0.000, 0.000, 0.000)
Sm (0.000, 0.000, 0.208)
Sm (0.000, 0.000, 0.421)
Sm (0.000, 0.000, 0.579)
Sm (0.000, 0.000, 0.792)
Tl (0.500, 0.500, 0.104)
Tl (0.500, 0.500, 0.311)
Tl (0.500, 0.500, 0.689)
Tl (0.500, 0.500, 0.896)
Ir (0.500, 0.500, 0.500)

---

[2]
Density functional theory data (PBE) for a geometry-optimized Sm4TlIr structure.

Values from the calculation:
Magnetization (μB per cell): 0.0
Density (g/cm3): 9.71
ΔH_f (0 K) (eV/atom): -0.48
SG: F-43m, No. 216

abc: 9.885 9.885 9.885
angles: 60.00 60.00 60.00
Atoms (fractional coordinates):
Sm (0.191, 0.191, 0.809)
Sm (0.191, 0.809, 0.191)
Sm (0.191, 0.809, 0.809)
Sm (0.349, 0.349, 0.349)
Sm (0.349, 0.349, 0.954)
Sm (0.349, 0.954, 0.349)
Sm (0.558, 0.558, 0.942)
Sm (0.558, 0.942, 0.558)
Sm (0.558, 0.942, 0.942)
Sm (0.809, 0.191, 0.191)
Sm (0.809, 0.191, 0.809)
Sm (0.809, 0.809, 0.191)
Sm (0.942, 0.558, 0.558)
Sm (0.942, 0.558, 0.942)
Sm (0.942, 0.942, 0.558)
Sm (0.954, 0.349, 0.349)
Tl (0.245, 0.585, 0.585)
Tl (0.585, 0.245, 0.585)
Tl (0.585, 0.585, 0.245)
Tl (0.585, 0.585, 0.585)
Ir (0.142, 0.142, 0.142)
Ir (0.142, 0.142, 0.575)
Ir (0.142, 0.575, 0.142)
Ir (0.575, 0.142, 0.142)

---

[3]
Density functional theory data (PBE) for a geometry-optimized Sm8TlIr2 structure.

Values from the calculation:
Magnetization (μB per cell): 0.0
Density (g/cm3): 9.10
ΔH_f (0 K) (eV/atom): -0.34
SG: C2/m, No. 12

abc: 8.109 8.109 5.593
angles: 97.35 97.35 113.79
Atoms (fractional coordinates):
Sm (0.072, 0.329, 0.569)
Sm (0.249, 0.751, 0.000)
Sm (0.329, 0.072, 0.569)
Sm (0.391, 0.391, 0.199)
Sm (0.609, 0.609, 0.801)
Sm (0.671, 0.928, 0.431)
Sm (0.751, 0.249, 0.000)
Sm (0.928, 0.671, 0.431)
Tl (0.000, 0.000, 0.000)
Ir (0.306, 0.694, 0.500)
Ir (0.694, 0.306, 0.500)

---

[4]
Density functional theory data (PBE) for a geometry-optimized SmTlIr4 structure.

Values from the calculation:
Magnetization (μB per cell): 0.0
Density (g/cm3): 16.97
ΔH_f (0 K) (eV/atom): -0.21
SG: F-43m, No. 216

abc: 5.377 5.377 5.377
angles: 60.00 60.00 60.00
Atoms (fractional coordinates):
Sm (0.000, 0.000, 0.000)
Tl (0.750, 0.750, 0.750)
Ir (0.375, 0.375, 0.375)
Ir (0.375, 0.375, 0.874)
Ir (0.375, 0.874, 0.375)
Ir (0.874, 0.375, 0.375)

---

Please write out number 1 again, unchanged.
Density functional theory data (PBE) for a geometry-optimized Sm5Tl4Ir structure.

Values from the calculation:
Magnetization (μB per cell): 0.1
Density (g/cm3): 10.70
ΔH_f (0 K) (eV/atom): -0.44
SG: P4/mmm, No. 123

abc: 3.596 3.596 21.150
angles: 90.00 90.00 90.00
Atoms (fractional coordinates):
Sm (0.000, 0.000, 0.000)
Sm (0.000, 0.000, 0.208)
Sm (0.000, 0.000, 0.421)
Sm (0.000, 0.000, 0.579)
Sm (0.000, 0.000, 0.792)
Tl (0.500, 0.500, 0.104)
Tl (0.500, 0.500, 0.311)
Tl (0.500, 0.500, 0.689)
Tl (0.500, 0.500, 0.896)
Ir (0.500, 0.500, 0.500)

---

Look up the ΔH_f (0 K) of the second one.
-0.48 eV/atom